Record 1
Below is NiOsNF2 after structural relaxation, with properties calculated at the PBEsol level.

Results
The calculation puts the density at 7885 kg/m³. The calculation puts the uncorrected energy at -5.93 eV per atom.

Cell lengths 3.7190, 4.1279, 4.1279 Å; angles 90.00, 90.00, 90.00 degrees
Last column: nearest neighbours and their distance in Å.
Element x y z (fractional)
N: 0.5000 0.0000 0.0000  2 Os 1.86
Os: 0.0000 0.0000 0.0000  2 N 1.86, 4 F 2.06
F: 0.0000 0.0000 0.5000  2 Os 2.06
F: 0.0000 0.5000 0.0000  2 Os 2.06
Ni: 0.5000 0.5000 0.5000  8 F 2.78, 4 N 2.92


Record 2
Below is Ni2PdNF after structural relaxation, with properties calculated at the PBEsol level.

Results
The calculation puts the density at 7764 kg/m³. The calculation puts the uncorrected energy at -5.83 eV per atom.

Cell lengths 3.6283, 3.6283, 4.1725 Å; angles 90.00, 90.00, 90.00 degrees
Last column: nearest neighbours and their distance in Å.
Element x y z (fractional)
Pd: 0.0000 0.0000 0.5000  2 N 2.09
Ni: 0.5000 0.0000 0.0000  2 N 1.81
Ni: 0.0000 0.5000 0.0000  2 N 1.81
N: 0.0000 0.0000 0.0000  4 Ni 1.81
F: 0.5000 0.5000 0.5000  4 Pd 2.57, 8 Ni 2.76


Record 3
Below is NiRuNF2 after structural relaxation, with properties calculated at the PBEsol level.

Results
The calculation puts the density at 5738 kg/m³. The calculation puts the uncorrected energy at -5.70 eV per atom.

Cell lengths 3.6715, 4.0857, 4.0857 Å; angles 90.00, 90.00, 90.00 degrees
Last column: nearest neighbours and their distance in Å.
Element x y z (fractional)
F: 0.0000 0.0000 0.5000  2 Ru 2.04
F: 0.0000 0.5000 0.0000  2 Ru 2.04
Ni: 0.5000 0.5000 0.5000  8 F 2.75, 4 N 2.89
N: 0.5000 0.0000 0.0000  2 Ru 1.84
Ru: 0.0000 0.0000 0.0000  2 N 1.84, 4 F 2.04


Record 4
Below is TiNiNF2 after structural relaxation, with properties calculated at the PBEsol level.

Results
The calculation puts the density at 5009 kg/m³. The calculation puts the uncorrected energy at -6.03 eV per atom.

Cell lengths 3.6725, 3.6725, 3.8978 Å; angles 90.00, 90.00, 90.00 degrees
Last column: nearest neighbours and their distance in Å.
Element x y z (fractional)
F: 0.0000 0.5000 0.0000  2 Ni 1.84
F: 0.5000 0.0000 0.0000  2 Ni 1.84
Ti: 0.5000 0.5000 0.5000  4 N 2.60, 8 F 2.68
Ni: 0.0000 0.0000 0.0000  4 F 1.84, 2 N 1.95
N: 0.0000 0.0000 0.5000  2 Ni 1.95


Record 5
Below is ZnNiNF2 after structural relaxation, with properties calculated at the PBEsol level.

Results
The calculation puts the density at 5505 kg/m³. The calculation puts the uncorrected energy at -4.41 eV per atom.

Cell lengths 3.7789, 3.7789, 3.7201 Å; angles 90.00, 90.00, 90.00 degrees
Last column: nearest neighbours and their distance in Å.
Element x y z (fractional)
F: 0.5000 0.0000 0.0000  2 Ni 1.89
F: 0.0000 0.5000 0.0000  2 Ni 1.89
N: 0.0000 0.0000 0.5000  2 Ni 1.86
Zn: 0.5000 0.5000 0.5000  8 F 2.65, 4 N 2.67
Ni: 0.0000 0.0000 0.0000  2 N 1.86, 4 F 1.89


Record 6
Below is PbN2OF after structural relaxation, with properties calculated at the PBEsol level.

Results
The calculation puts the density at 7097 kg/m³. The calculation puts the uncorrected energy at -4.00 eV per atom.

Cell lengths 3.5214, 3.5214, 5.0988 Å; angles 90.00, 90.00, 90.00 degrees
Last column: nearest neighbours and their distance in Å.
Element x y z (fractional)
F: 0.0000 0.0000 0.0000  4 N 1.76
N: 0.0000 0.5000 0.0000  2 F 1.76
N: 0.5000 0.0000 0.0000  2 F 1.76
O: 0.0000 0.0000 0.5000  4 Pb 2.49, 2 F 2.55
Pb: 0.5000 0.5000 0.5000  4 O 2.49


Record 7
Below is PtNOF2 after structural relaxation, with properties calculated at the PBEsol level.

Results
The calculation puts the density at 7109 kg/m³. The calculation puts the uncorrected energy at -3.89 eV per atom.

Cell lengths 3.2321, 3.2321, 5.8823 Å; angles 90.00, 90.00, 90.00 degrees
Last column: nearest neighbours and their distance in Å.
Element x y z (fractional)
O: 0.0000 0.0000 0.5000  4 Pt 2.29
N: 0.0000 0.0000 0.0000  4 F 1.62
Pt: 0.5000 0.5000 0.5000  4 O 2.29
F: 0.5000 0.0000 0.0000  2 N 1.62
F: 0.0000 0.5000 0.0000  2 N 1.62


Record 8
Below is ReNO2F after structural relaxation, with properties calculated at the PBEsol level.

Results
The calculation puts the density at 7664 kg/m³. The calculation puts the uncorrected energy at -7.40 eV per atom.

Cell lengths 3.7334, 3.7334, 3.9052 Å; angles 90.00, 90.00, 90.00 degrees
Last column: nearest neighbours and their distance in Å.
Element x y z (fractional)
F: 0.5000 0.5000 0.5000  4 N 2.64, 8 O 2.70
N: 0.0000 0.0000 0.5000  2 Re 1.95
Re: 0.0000 0.0000 0.0000  4 O 1.87, 2 N 1.95
O: 0.5000 0.0000 0.0000  2 Re 1.87
O: 0.0000 0.5000 0.0000  2 Re 1.87